(1)
Below is crystalline Pm8Ga2Ir at its relaxed geometry, with properties calculated at the PBE-GGA level.

Calculated values
Magnetization = 0.0 μB per cell
Crystal system = orthorhombic
Energy above the most stable polymorph in this dataset = 0.62 eV/f.u.
DFT total energy = -5.105 eV per atom
ΔE_f = -0.29 eV/atom
Space-group type = Immm (71)

a b c (Å): 5.3307 7.0056 9.3712
angles (deg): 111.95 106.52 90.00
With the nearest neighbours (Å) after each atom.
Fractional coordinates of all 11 atoms:
Pm1 0.3696 0.1345 0.7392  1 Ir 2.85
Pm2 0.1983 0.1983 0.3966  6 Pm 3.28-3.44, 4 Ga 3.29-3.51
Pm3 0.6304 0.8655 0.2608  1 Ir 2.85
Pm4 0.8017 0.8017 0.6034  6 Pm 3.28-3.44, 4 Ga 3.29-3.51
Pm5 0.0000 0.2488 0.0000  2 Ir 3.18, 6 Pm 3.43-3.52, 2 Ga 3.53
Pm6 0.0000 0.7512 0.0000  2 Ir 3.18, 6 Pm 3.43-3.52, 2 Ga 3.53
Pm7 0.6304 0.3953 0.2608  1 Ir 2.85
Pm8 0.3696 0.6047 0.7392  1 Ir 2.85
Ga1 0.1848 0.6848 0.3696  12 Pm 3.26-3.58
Ga2 0.8152 0.3152 0.6304  12 Pm 3.26-3.58
Ir1 0.5000 0.0000 0.0000  8 Pm 2.85-3.18

(2)
Below is crystalline CoRh at its relaxed geometry, with properties calculated at the PBE-GGA level.

Calculated values
Magnetization = 8.2 μB per cell
Crystal system = hexagonal
DFT total energy = -7.103 eV per atom
ΔE_f = 0.13 eV/atom
Space-group type = P-6m2 (187)

a b c (Å): 4.1625 4.1625 5.2190
angles (deg): 90.00 90.00 120.00
With the nearest neighbours (Å) after each atom.
Fractional coordinates of all 6 atoms:
Co1 0.3333 0.6667 0.9165  3 Co 2.40, 2 Rh 2.61
Co2 0.0000 0.0000 0.9168  5 Co 2.40-2.61
Co3 0.0000 0.0000 0.4168  3 Rh 2.40, 2 Co 2.61
Rh1 0.6667 0.3333 0.1635  5 Rh 2.58-2.74, 9 Co 2.73-2.74
Rh2 0.3333 0.6667 0.4164  5 Co 2.40-2.61
Rh3 0.6667 0.3333 0.6699  5 Rh 2.58-2.74, 9 Co 2.73-2.74

(3)
Below is crystalline LiLa2RuN at its relaxed geometry, with properties calculated at the PBE-GGA level.

Calculated values
Magnetization = 0.1 μB per cell
Crystal system = tetragonal
Energy above the most stable polymorph in this dataset = 0.23 eV/f.u.
DFT total energy = -6.344 eV per atom
Space-group type = P4/mmm (123)
Uncorrected formation energy = -2.35 eV/f.u.

a b c (Å): 5.0687 5.0687 3.8513
angles (deg): 90.00 90.00 90.00
With the nearest neighbours (Å) after each atom.
Fractional coordinates of all 5 atoms:
Ru1 0.5000 0.5000 0.5000  8 La 3.18
La1 0.5000 0.0000 0.0000  2 N 2.53
La2 0.0000 0.5000 0.0000  2 N 2.53
N1 0.0000 0.0000 0.0000  2 Li 1.93
Li1 0.0000 0.0000 0.5000  2 N 1.93

(4)
Below is crystalline Mg3Au at its relaxed geometry, with properties calculated at the PBE-GGA level.

Calculated values
Magnetization = 0.0 μB per cell
Crystal system = hexagonal
Energy above the most stable polymorph in this dataset = 0.00 eV/f.u.
DFT total energy = -2.431 eV per atom
ΔE_f = -0.42 eV/atom
Space-group type = P6_3cm (185)

a b c (Å): 8.1110 8.1110 8.5781
angles (deg): 90.00 90.00 120.00
With the nearest neighbours (Å) after each atom.
Fractional coordinates of all 24 atoms:
Mg1 0.0000 0.3749 0.4002  2 Au 2.82-2.85, 4 Mg 3.03-3.10
Mg2 0.7183 0.7183 0.7428  3 Au 2.84-2.90, 8 Mg 3.03-3.18
Mg3 0.2817 0.2817 0.2428  3 Au 2.84-2.90, 8 Mg 3.03-3.18
Mg4 0.6667 0.3333 0.6183  3 Au 2.75
Mg5 0.0000 0.0000 0.0012  3 Au 2.73
Mg6 0.3333 0.6667 0.6183  3 Au 2.75
Mg7 0.7183 0.0000 0.2428  3 Au 2.84-2.90, 8 Mg 3.03-3.18
Mg8 0.6251 0.0000 0.9002  2 Au 2.82-2.85, 4 Mg 3.03-3.10
Mg9 0.2817 0.0000 0.7428  3 Au 2.84-2.90, 8 Mg 3.03-3.18
Mg10 0.0000 0.0000 0.5012  3 Au 2.73
Mg11 0.0000 0.6251 0.9002  2 Au 2.82-2.85, 4 Mg 3.03-3.10
Mg12 0.0000 0.2817 0.7428  3 Au 2.84-2.90, 8 Mg 3.03-3.18
Mg13 0.3749 0.3749 0.9002  2 Au 2.82-2.85, 4 Mg 3.03-3.10
Mg14 0.3333 0.6667 0.1183  3 Au 2.75
Mg15 0.6251 0.6251 0.4002  2 Au 2.82-2.85, 4 Mg 3.03-3.10
Mg16 0.3749 0.0000 0.4002  2 Au 2.82-2.85, 4 Mg 3.03-3.10
Mg17 0.0000 0.7183 0.2428  3 Au 2.84-2.90, 8 Mg 3.03-3.18
Mg18 0.6667 0.3333 0.1183  3 Au 2.75
Au1 0.3283 0.0000 0.0715  8 Mg 2.73-2.90
Au2 0.0000 0.3283 0.0715  8 Mg 2.73-2.90
Au3 0.6717 0.6717 0.0715  8 Mg 2.73-2.90
Au4 0.3283 0.3283 0.5715  8 Mg 2.73-2.90
Au5 0.0000 0.6717 0.5715  8 Mg 2.73-2.90
Au6 0.6717 0.0000 0.5715  8 Mg 2.73-2.90

(5)
Below is crystalline Ba6AgTe2I3 at its relaxed geometry, with properties calculated at the PBE-GGA level.

Calculated values
Magnetization = 2.8 μB per cell
Crystal system = monoclinic
DFT total energy = -3.400 eV per atom
Space-group type = C2/m (12)
Uncorrected formation energy = -15.48 eV/f.u.

a b c (Å): 8.6850 8.6850 8.7109
angles (deg): 99.57 99.57 119.96
With the nearest neighbours (Å) after each atom.
Fractional coordinates of all 12 atoms:
Ag1 0.0000 0.0000 0.0000  6 Ba 3.36-3.39
Te1 0.6656 0.3344 0.0000  6 Ba 3.47
Te2 0.3344 0.6656 0.0000  6 Ba 3.47
Ba1 0.3982 0.0741 0.2238  1 Ag 3.36, 2 Te 3.47, 3 I 3.65-3.67
Ba2 0.9259 0.6018 0.7762  1 Ag 3.36, 2 Te 3.47, 3 I 3.65-3.67
Ba3 0.2481 0.2481 0.7712  1 Ag 3.39, 2 Te 3.47, 3 I 3.70-3.72
Ba4 0.6018 0.9259 0.7762  1 Ag 3.36, 2 Te 3.47, 3 I 3.65-3.67
Ba5 0.0741 0.3982 0.2238  1 Ag 3.36, 2 Te 3.47, 3 I 3.65-3.67
Ba6 0.7519 0.7519 0.2288  1 Ag 3.39, 2 Te 3.47, 3 I 3.70-3.72
I1 0.1739 0.8261 0.5000  6 Ba 3.65-3.70
I2 0.5000 0.5000 0.5000  6 Ba 3.65-3.72
I3 0.8261 0.1739 0.5000  6 Ba 3.65-3.70

(6)
Below is crystalline Tl2Cd2InPb at its relaxed geometry, with properties calculated at the PBE-GGA level.

Calculated values
Magnetization = 0.0 μB per cell
Crystal system = orthorhombic
DFT total energy = -2.110 eV per atom
ΔE_f = 0.06 eV/atom
Space-group type = Ibam (72)

a b c (Å): 6.5117 6.4941 9.4737
angles (deg): 110.04 110.10 90.00
With the nearest neighbours (Å) after each atom.
Fractional coordinates of all 12 atoms:
Tl1 0.4084 0.1751 0.3501  5 Cd 3.10-3.35
Tl2 0.0582 0.3249 0.6499  5 Cd 3.10-3.35
Tl3 0.9418 0.6751 0.3501  5 Cd 3.10-3.35
Tl4 0.5916 0.8249 0.6499  5 Cd 3.10-3.35
Cd1 0.5903 0.3621 0.7242  5 Tl 3.10-3.35, 2 In 3.17, 2 Pb 3.32
Cd2 0.1339 0.8621 0.7242  5 Tl 3.10-3.35, 2 In 3.17, 2 Pb 3.32
Cd3 0.4097 0.6379 0.2758  5 Tl 3.10-3.35, 2 In 3.17, 2 Pb 3.32
Cd4 0.8661 0.1379 0.2758  5 Tl 3.10-3.35, 2 In 3.17, 2 Pb 3.32
In1 0.5000 0.2500 0.0000  4 Cd 3.17, 2 In 3.25, 2 Pb 3.26
In2 0.5000 0.7500 0.0000  4 Cd 3.17, 2 In 3.25, 2 Pb 3.26
Pb1 0.0000 0.2500 0.0000  2 Pb 3.25, 2 In 3.26, 4 Cd 3.32
Pb2 0.0000 0.7500 0.0000  2 Pb 3.25, 2 In 3.26, 4 Cd 3.32

(7)
Below is crystalline AcLaEuPb at its relaxed geometry, with properties calculated at the PBE-GGA level.

Calculated values
Magnetization = 8.4 μB per cell
Crystal system = cubic
DFT total energy = -5.880 eV per atom
ΔE_f = -0.13 eV/atom
Space-group type = F-43m (216)

a b c (Å): 5.8429 5.8429 5.8429
angles (deg): 60.00 60.00 60.00
With the nearest neighbours (Å) after each atom.
Fractional coordinates of all 4 atoms:
La1 0.0000 0.0000 0.0000  4 Ac 3.58, 4 Pb 3.58
Eu1 0.5000 0.5000 0.5000  4 Ac 3.58, 4 Pb 3.58
Pb1 0.2500 0.2500 0.2500  4 La 3.58, 4 Eu 3.58
Ac1 0.7500 0.7500 0.7500  4 La 3.58, 4 Eu 3.58

(8)
Below is crystalline Rb2AuSeI6 at its relaxed geometry, with properties calculated at the PBE-GGA level.

Calculated values
Magnetization = 0.0 μB per cell
Crystal system = tetragonal
DFT total energy = -2.400 eV per atom
Space-group type = I4/mmm (139)
Uncorrected formation energy = -6.00 eV/f.u.

a b c (Å): 8.2958 8.2958 8.3251
angles (deg): 60.12 60.12 90.00
With the nearest neighbours (Å) after each atom.
Fractional coordinates of all 10 atoms:
I1 0.7464 0.7464 0.0000  1 Se 2.89, 1 Au 2.98
I2 0.7656 0.7656 0.4687  1 Au 2.77
I3 0.7464 0.2536 0.0000  1 Se 2.89, 1 Au 2.98
I4 0.2536 0.2536 0.0000  1 Se 2.89, 1 Au 2.98
I5 0.2344 0.2344 0.5313  1 Au 2.77
I6 0.2536 0.7464 0.0000  1 Se 2.89, 1 Au 2.98
Rb1 0.2500 0.7500 0.5000  12 I 4.15-4.16
Rb2 0.7500 0.2500 0.5000  12 I 4.15-4.16
Se1 0.5000 0.5000 0.0000  6 I 2.89-3.14
Au1 0.0000 0.0000 0.0000  6 I 2.77-2.98

(9)
Below is crystalline La2Al6IrRu at its relaxed geometry, with properties calculated at the PBE-GGA level.

Calculated values
Magnetization = 0.0 μB per cell
Crystal system = orthorhombic
DFT total energy = -5.564 eV per atom
ΔE_f = -0.52 eV/atom
Space-group type = Immm (71)

a b c (Å): 6.7087 6.7122 6.7006
angles (deg): 60.05 60.08 90.00
With the nearest neighbours (Å) after each atom.
Fractional coordinates of all 10 atoms:
Al1 0.2482 0.2482 0.5036  1 Ru 2.36, 1 Ir 2.39
Al2 0.7518 0.7518 0.0000  1 Ru 2.36, 1 Ir 2.39
Al3 0.2482 0.2482 0.0000  1 Ru 2.36, 1 Ir 2.39
Al4 0.7518 0.7518 0.4964  1 Ru 2.36, 1 Ir 2.39
Al5 0.7518 0.2482 0.0000  1 Ru 2.36, 1 Ir 2.39
Al6 0.2482 0.7518 0.0000  1 Ru 2.36, 1 Ir 2.39
La1 0.7499 0.2501 0.5000  12 Al 3.35-3.36
La2 0.2501 0.7499 0.5000  12 Al 3.35-3.36
Ru1 0.0000 0.0000 0.0000  6 Al 2.36
Ir1 0.5000 0.5000 0.0000  6 Al 2.39

(10)
Below is crystalline CaCeGaPb at its relaxed geometry, with properties calculated at the PBE-GGA level.

Calculated values
Magnetization = 0.9 μB per cell
Crystal system = cubic
DFT total energy = -4.074 eV per atom
ΔE_f = -0.41 eV/atom
Space-group type = F-43m (216)

a b c (Å): 5.3867 5.3867 5.3867
angles (deg): 60.00 60.00 60.00
With the nearest neighbours (Å) after each atom.
Fractional coordinates of all 4 atoms:
Ce1 0.5000 0.5000 0.5000  4 Pb 3.30, 4 Ga 3.30
Ga1 0.7500 0.7500 0.7500  4 Ca 3.30, 4 Ce 3.30
Pb1 0.2500 0.2500 0.2500  4 Ce 3.30, 4 Ca 3.30
Ca1 0.0000 0.0000 0.0000  4 Pb 3.30, 4 Ga 3.30

(11)
Below is crystalline Ca2PrSc at its relaxed geometry, with properties calculated at the PBE-GGA level.

Calculated values
Magnetization = 0.9 μB per cell
Crystal system = trigonal
Energy above the most stable polymorph in this dataset = 0.23 eV/f.u.
DFT total energy = -3.523 eV per atom
ΔE_f = 0.26 eV/atom
Space-group type = R-3m (166)

a b c (Å): 3.5463 3.5463 13.0279
angles (deg): 82.18 82.18 60.00
With the nearest neighbours (Å) after each atom.
Fractional coordinates of all 4 atoms:
Ca1 0.0919 0.0919 0.7242  3 Sc 3.54, 6 Ca 3.55, 1 Pr 3.55
Ca2 0.9081 0.9081 0.2758  3 Sc 3.54, 6 Ca 3.55, 1 Pr 3.55
Pr1 0.0000 0.0000 0.0000  6 Pr 3.55, 2 Ca 3.55
Sc1 0.5000 0.5000 0.5000  6 Ca 3.54, 6 Sc 3.55

(12)
Below is crystalline MnSnBi2 at its relaxed geometry, with properties calculated at the PBE-GGA level.

Calculated values
Magnetization = 4.4 μB per cell
Crystal system = trigonal
DFT total energy = -4.759 eV per atom
ΔE_f = 0.47 eV/atom
Space-group type = R-3m (166)

a b c (Å): 3.3775 3.3775 11.8004
angles (deg): 81.77 81.77 60.00
With the nearest neighbours (Å) after each atom.
Fractional coordinates of all 4 atoms:
Bi1 0.9192 0.9192 0.2424  1 Mn 2.82
Bi2 0.0808 0.0808 0.7576  1 Mn 2.82
Sn1 0.5000 0.5000 0.5000  6 Sn 3.38, 6 Bi 3.58
Mn1 0.0000 0.0000 0.0000  2 Bi 2.82